[1]
The following is a DFT calculation (PBE) of an optimized crystal structure of Cr3Pb.

```
12
Lattice="3.0385 0.0000 0.0000 -1.5192 2.6314 0.0000 0.0000 0.0000 25.8964" Properties=species:S:1:pos:R:3 pbc="T T T"
Cr 0.0000 0.0000 0.0000
Cr 0.0000 0.0000 6.8742
Cr 0.0000 0.0000 19.0222
Cr 0.0000 1.7543 10.3900
Cr 0.0000 1.7543 17.2643
Cr 0.0000 1.7543 24.1385
Cr 1.5192 0.8771 1.7579
Cr 1.5192 0.8771 8.6321
Cr 1.5192 0.8771 15.5063
Pb 0.0000 0.0000 12.9482
Pb 0.0000 1.7543 4.3161
Pb 1.5192 0.8771 21.5803
```

Calculated values
The space group is R-3m. The calculation puts the energy of formation from the pure elements at 673 meV/atom. The total moment is 3.6 μB/f.u.

***

[2]
The following is a DFT calculation (PBE) of an optimized crystal structure of PrNp2VN4.

```
16
Lattice="1.7130 -5.8274 0.0000 1.7130 5.8274 0.0000 0.0000 0.0000 11.5819" Properties=species:S:1:pos:R:3 pbc="T T T"
Pr 1.7130 4.6924 8.6864
Pr 1.7130 -4.6924 2.8955
Np 1.7130 1.5316 6.3406
Np 1.7130 1.5316 11.0323
Np 1.7130 -1.5316 0.5496
Np 1.7130 -1.5316 5.2413
V 1.7130 3.9125 2.8955
V 1.7130 -3.9125 8.6864
N 0.0000 0.0000 0.0000
N 0.0000 0.0000 5.7910
N 1.7130 2.7510 1.3861
N 1.7130 2.7510 4.4049
N 1.7130 0.8073 8.6864
N 1.7130 -0.8073 2.8955
N 1.7130 -2.7510 7.1770
N 1.7130 -2.7510 10.1958
```

Calculated values
The space group is Cmcm. The uncorrected formation energy is -1.07 eV/atom. The total moment is 6.5 μB/f.u.